Below is an optimized crystal structure of Be2FeBPd, with properties calculated at the GGA-PBEsol level.

The structure in CIF format:
```
data_Be2FeBPd
_chemical_formula_sum 'Be2 Fe1 B1 Pd1'
_symmetry_space_group_name_H-M 'P 4/m m m'
_symmetry_Int_Tables_number 123
_symmetry_space_group_name_Hall '-P 4 2'
_cell_length_a 3.862
_cell_length_b 3.862
_cell_length_c 3.641
_cell_angle_alpha 90.00
_cell_angle_beta 90.00
_cell_angle_gamma 90.00
loop_
_atom_site_label
_atom_site_type_symbol
_atom_site_fract_x
_atom_site_fract_y
_atom_site_fract_z
Be1 Be 0.000 0.500 0.000
Fe1 Fe 0.000 0.000 0.000
B1 B 0.000 0.000 0.500
Pd1 Pd 0.500 0.500 0.500
```

The volume is 10.86 Å³/atom. The total moment is 0.00 μB per atom. The uncorrected energy comes out at -5.4143 eV/atom.

=====

Below is an optimized crystal structure of Be2SeBr, with properties calculated at the GGA-PBEsol level.

The structure in CIF format:
```
data_Be2SeBr
_chemical_formula_sum 'Be4 Se2 Br2'
_symmetry_space_group_name_H-M 'I m m m'
_symmetry_Int_Tables_number 71
_symmetry_space_group_name_Hall '-I 2 2'
_cell_length_a 3.310
_cell_length_b 6.615
_cell_length_c 6.726
_cell_angle_alpha 90.00
_cell_angle_beta 90.00
_cell_angle_gamma 90.00
loop_
_atom_site_label
_atom_site_type_symbol
_atom_site_fract_x
_atom_site_fract_y
_atom_site_fract_z
Be1 Be 0.000 0.229 0.000
Se1 Se 0.000 0.500 0.500
Br1 Br 0.000 0.000 0.500
```

The volume is 18.41 Å³/atom. The total moment is 0.00 μB per atom. The uncorrected energy comes out at -3.3259 eV/atom. For the uncorrected formation energy, the calculation gives 0.104 eV/atom.

=====

Below is an optimized crystal structure of BaZnNi, with properties calculated at the GGA-PBEsol level.

The structure in CIF format:
```
data_BaZnNi
_chemical_formula_sum 'Ba1 Zn1 Ni1'
_symmetry_space_group_name_H-M 'P -6 m 2'
_symmetry_Int_Tables_number 187
_symmetry_space_group_name_Hall 'P -6 2'
_cell_length_a 4.2369
_cell_length_b 4.2369
_cell_length_c 4.5893
_cell_angle_alpha 90.00
_cell_angle_beta 90.00
_cell_angle_gamma 120.00
loop_
_atom_site_label
_atom_site_type_symbol
_atom_site_fract_x
_atom_site_fract_y
_atom_site_fract_z
Ba1 Ba 0.0000 0.0000 0.0000
Zn1 Zn 0.6667 0.3333 0.5000
Ni1 Ni 0.3333 0.6667 0.5000
```

The volume is 23.78 Å³/atom. The total moment is 0.00 μB per atom. The uncorrected energy comes out at -3.3401 eV/atom.

=====

Below is an optimized crystal structure of LiTaNi, with properties calculated at the GGA-PBEsol level.

The structure in CIF format:
```
data_LiTaNi
_chemical_formula_sum 'Li4 Ta4 Ni4'
_symmetry_space_group_name_H-M 'F m m 2'
_symmetry_Int_Tables_number 42
_symmetry_space_group_name_Hall 'F 2 -2'
_cell_length_a 3.275
_cell_length_b 4.216
_cell_length_c 12.610
_cell_angle_alpha 90.00
_cell_angle_beta 90.00
_cell_angle_gamma 90.00
loop_
_atom_site_label
_atom_site_type_symbol
_atom_site_fract_x
_atom_site_fract_y
_atom_site_fract_z
Li1 Li 0.000 0.000 0.000
Ta1 Ta 0.000 0.000 0.300
Ni1 Ni 0.000 0.000 0.650
```

The volume is 14.51 Å³/atom. The total moment is 0.00 μB per atom. The uncorrected energy comes out at -6.7102 eV/atom.

=====

Below is an optimized crystal structure of CdPBr2, with properties calculated at the GGA-PBEsol level.

The structure in CIF format:
```
data_CdPBr2
_chemical_formula_sum 'Cd3 P3 Br6'
_symmetry_space_group_name_H-M 'R 3 m'
_symmetry_Int_Tables_number 160
_symmetry_space_group_name_Hall 'R 3 -2"'
_cell_length_a 3.6961
_cell_length_b 3.6961
_cell_length_c 24.3383
_cell_angle_alpha 90.00
_cell_angle_beta 90.00
_cell_angle_gamma 120.00
loop_
_atom_site_label
_atom_site_type_symbol
_atom_site_fract_x
_atom_site_fract_y
_atom_site_fract_z
Cd1 Cd 0.0000 0.0000 0.0000
P1 P 0.0000 0.0000 0.7341
Br1 Br 0.0000 0.0000 0.2605
Br2 Br 0.0000 0.0000 0.4729
```

The volume is 24.00 Å³/atom. The total moment is 0.00 μB per atom. The uncorrected energy comes out at -2.6174 eV/atom. For the uncorrected formation energy, the calculation gives 0.065 eV/atom.

=====

Below is an optimized crystal structure of P2OsI2, with properties calculated at the GGA-PBEsol level.

The structure in CIF format:
```
data_P2OsI2
_chemical_formula_sum 'P4 Os2 I4'
_symmetry_space_group_name_H-M 'I 4/m m m'
_symmetry_Int_Tables_number 139
_symmetry_space_group_name_Hall '-I 4 2'
_cell_length_a 3.284
_cell_length_b 3.284
_cell_length_c 19.794
_cell_angle_alpha 90.00
_cell_angle_beta 90.00
_cell_angle_gamma 90.00
loop_
_atom_site_label
_atom_site_type_symbol
_atom_site_fract_x
_atom_site_fract_y
_atom_site_fract_z
P1 P 0.000 0.500 0.250
Os1 Os 0.000 0.000 0.000
I1 I 0.000 0.000 0.415
```

The volume is 21.35 Å³/atom. The total moment is 0.00 μB per atom. The uncorrected energy comes out at -4.5665 eV/atom. For the uncorrected formation energy, the calculation gives 0.900 eV/atom.

=====

Below is an optimized crystal structure of BeRe2Ru, with properties calculated at the GGA-PBEsol level.

The structure in CIF format:
```
data_BeRe2Ru
_chemical_formula_sum 'Be1 Re2 Ru1'
_symmetry_space_group_name_H-M 'P m m 2'
_symmetry_Int_Tables_number 25
_symmetry_space_group_name_Hall 'P 2 -2'
_cell_length_a 2.710
_cell_length_b 3.801
_cell_length_c 5.103
_cell_angle_alpha 90.00
_cell_angle_beta 90.00
_cell_angle_gamma 90.00
loop_
_atom_site_label
_atom_site_type_symbol
_atom_site_fract_x
_atom_site_fract_y
_atom_site_fract_z
Be1 Be 0.000 0.000 0.000
Re1 Re 0.000 0.000 0.503
Re2 Re 0.500 0.500 0.249
Ru1 Ru 0.500 0.500 0.783
```

The volume is 13.14 Å³/atom. The total moment is 0.00 μB per atom. The uncorrected energy comes out at -10.1296 eV/atom.

=====

Below is an optimized crystal structure of CrPt2, with properties calculated at the GGA-PBEsol level.

The structure in CIF format:
```
data_CrPt2
_chemical_formula_sum 'Cr2 Pt4'
_symmetry_space_group_name_H-M 'I 4/m m m'
_symmetry_Int_Tables_number 139
_symmetry_space_group_name_Hall '-I 4 2'
_cell_length_a 2.672
_cell_length_b 2.672
_cell_length_c 11.495
_cell_angle_alpha 90.00
_cell_angle_beta 90.00
_cell_angle_gamma 90.00
loop_
_atom_site_label
_atom_site_type_symbol
_atom_site_fract_x
_atom_site_fract_y
_atom_site_fract_z
Cr1 Cr 0.000 0.000 0.000
Pt1 Pt 0.000 0.000 0.345
```

The volume is 13.68 Å³/atom. The total moment is 0.01 μB per atom. The uncorrected energy comes out at -8.2949 eV/atom.

=====

Below is an optimized crystal structure of YRhBr2, with properties calculated at the GGA-PBEsol level.

The structure in CIF format:
```
data_YRhBr2
_chemical_formula_sum 'Y3 Rh3 Br6'
_symmetry_space_group_name_H-M 'R -3 m'
_symmetry_Int_Tables_number 166
_symmetry_space_group_name_Hall '-R 3 2"'
_cell_length_a 3.8037
_cell_length_b 3.8037
_cell_length_c 24.9358
_cell_angle_alpha 90.00
_cell_angle_beta 90.00
_cell_angle_gamma 120.00
loop_
_atom_site_label
_atom_site_type_symbol
_atom_site_fract_x
_atom_site_fract_y
_atom_site_fract_z
Y1 Y 0.0000 0.0000 0.0000
Rh1 Rh 0.0000 0.0000 0.5000
Br1 Br 0.0000 0.0000 0.1099
```

The volume is 26.04 Å³/atom. The total moment is 0.45 μB per atom. The uncorrected energy comes out at -4.7889 eV/atom. For the uncorrected formation energy, the calculation gives -0.114 eV/atom.

=====

Below is an optimized crystal structure of RbFeRuCl2, with properties calculated at the GGA-PBEsol level.

The structure in CIF format:
```
data_RbFeRuCl2
_chemical_formula_sum 'Rb1 Fe1 Ru1 Cl2'
_symmetry_space_group_name_H-M 'P 4/m m m'
_symmetry_Int_Tables_number 123
_symmetry_space_group_name_Hall '-P 4 2'
_cell_length_a 4.890
_cell_length_b 4.890
_cell_length_c 4.668
_cell_angle_alpha 90.00
_cell_angle_beta 90.00
_cell_angle_gamma 90.00
loop_
_atom_site_label
_atom_site_type_symbol
_atom_site_fract_x
_atom_site_fract_y
_atom_site_fract_z
Rb1 Rb 0.000 0.000 0.000
Fe1 Fe 0.500 0.500 0.500
Ru1 Ru 0.500 0.500 0.000
Cl1 Cl 0.000 0.500 0.500
```

The volume is 22.32 Å³/atom. The total moment is 1.11 μB per atom. The uncorrected energy comes out at -4.5805 eV/atom. For the uncorrected formation energy, the calculation gives 0.255 eV/atom.